No. 1
MgTlBr2: optimized geometry, GGA-PBE.

a b c (Å): 5.552 5.552 3.825
angles (deg): 90.00 90.00 90.00
Fractional positions:
Mg (0.000, 0.000, 0.000)
Tl (0.500, 0.500, 0.000)
Br (0.000, 0.500, 0.500)
Br (0.500, 0.000, 0.500)

Its polymorph energy (0 for the lowest one) is 1.62 eV per formula unit. Its formation energy (no corrections) is -0.5738 eV/atom. As for the density of states at the Fermi level: 1.9 states/eV/cell. As for the crystal system: tetragonal. Its space-group type is P4/mmm, No. 123.

=====

No. 2
Na3LaPb6: optimized geometry, GGA-PBE.

a b c (Å): 10.943 4.864 11.385
angles (deg): 90.00 94.59 90.00
Fractional positions:
Na (0.050, 0.250, 0.406)
Na (0.153, 0.750, 0.199)
Na (0.248, 0.250, 0.009)
Na (0.752, 0.750, 0.991)
Na (0.847, 0.250, 0.801)
Na (0.950, 0.750, 0.594)
La (0.440, 0.250, 0.622)
La (0.560, 0.750, 0.378)
Pb (0.055, 0.750, 0.893)
Pb (0.137, 0.250, 0.715)
Pb (0.252, 0.750, 0.485)
Pb (0.334, 0.750, 0.809)
Pb (0.339, 0.250, 0.317)
Pb (0.455, 0.750, 0.085)
Pb (0.545, 0.250, 0.915)
Pb (0.661, 0.750, 0.683)
Pb (0.666, 0.250, 0.191)
Pb (0.748, 0.250, 0.515)
Pb (0.863, 0.750, 0.285)
Pb (0.945, 0.250, 0.107)

The energy relative to the elements comes out at -0.23 eV per atom. As for the density of states at the Fermi level: 8.7 states/eV/cell. As for the crystal system: monoclinic. Its space-group type is P2_1/m, No. 11.

=====

| no. | total magnetic moment (μB/f.u.) | V (Å³/atom) |
| --- | --- | --- |
| 1 | 0.0 | 29.48 |
| 2 | 0.0 | 30.20 |